A relaxed Nd3Sm2Y4 crystal. Source: the Alexandria database, functional PBE-GGA.

```
18
Lattice="5.819 1.630 1.167 2.148 11.181 0.770 2.148 4.331 10.336" Properties=species:S:1:pos:R:3 pbc="T T T"
Nd 6.513 8.281 7.402
Nd 3.603 8.861 4.870
Nd 2.199 3.701 1.141
Nd 5.109 3.088 3.720
Nd 5.007 14.054 8.553
Nd 7.916 13.440 11.132
Sm 3.132 8.792 8.281
Sm 6.042 11.487 6.239
Sm 6.983 8.349 3.992
Sm 4.074 5.655 6.034
Y 2.399 9.623 1.614
Y 4.807 11.698 3.100
Y 8.431 13.526 7.759
Y 4.594 6.253 2.551
Y 7.716 7.519 10.659
Y 5.521 10.888 9.721
Y 1.685 3.615 4.514
Y 5.309 5.443 9.173
```

Values from the calculation:
magnetic moment = 0.000 μB per atom
energy relative to the elements = 0.093 eV per atom
polymorph energy (0 for the lowest one) = 0.0796 eV per atom